Entry 1:
A relaxed structure of K2NiIr, computed with GGA-PBE.

Summary:
Volume, Å³ per cell: 83
Formation enthalpy at 0 K, eV/atom: 1.00
Excess energy over the best structure of this formula in the dataset, meV/atom: 585.0
Total moment, μB per formula unit: 1.0
N(E_F), states/eV per cell: 5.558

Cell lengths 5.2463, 3.9697, 3.9697 Å; angles 90.00, 90.00, 90.00 degrees
Last column: magnetic moment on the atom in μB.
Atoms (fractional coordinates):
Ir 0.5000 0.0000 0.5000  0.46
K 0.0000 0.0000 0.0000  -0.01
K 0.0000 0.5000 0.5000  -0.01
Ni 0.5000 0.5000 0.0000  0.59

***

Entry 2:
A relaxed structure of KNiIr, computed with GGA-PBE.

Summary:
Volume, Å³ per cell: 63
Formation enthalpy at 0 K, eV/atom: 1.33
Excess energy over the best structure of this formula in the dataset, meV/atom: 941.2
Total moment, μB per formula unit: 2.1
N(E_F), states/eV per cell: 3.563

Cell lengths 4.4757, 4.4757, 4.4757 Å; angles 60.00, 60.00, 60.00 degrees
Last column: magnetic moment on the atom in μB.
Atoms (fractional coordinates):
Ir 0.0000 0.0000 0.0000  1.12
K 0.5000 0.5000 0.5000  -0.01
Ni 0.7500 0.7500 0.7500  1.00